--- 1 ---
TeOF2 (meta-GGA SCAN, PBEsol geometry); calculated density = 5.04 g/cm³; N(E_F) = 0.00 states/eV/f.u.
1.0
5.306 0.000 0.000
0.000 7.927 0.000
-1.025 0.000 5.694
Te O F
4 4 8
Direct
0.024 0.000 0.333
0.388 0.719 0.066
0.612 0.219 0.934
0.976 0.500 0.667
0.128 0.776 0.252
0.201 0.513 0.971
0.799 0.013 0.029
0.872 0.276 0.748
0.142 0.788 0.751
0.270 0.376 0.585
0.306 0.072 0.145
0.461 0.068 0.682
0.539 0.568 0.318
0.694 0.572 0.855
0.730 0.876 0.415
0.858 0.288 0.249

=====

--- 2 ---
TeOF2 (meta-GGA SCAN, PBEsol geometry); calculated density = 4.98 g/cm³; N(E_F) = 2.45 states/eV/f.u.
1.0
1.556 0.898 7.218
-1.556 0.898 7.218
0.000 -1.796 7.218
Te O F
1 1 2
Direct
0.000 0.000 0.000
0.500 0.500 0.500
0.420 0.420 0.420
0.580 0.580 0.580

=====

Which of them is most stable? Easy: 1.

=====

--- 1 ---
ZrTlOF2 (meta-GGA SCAN, PBEsol geometry); calculated density = 6.72 g/cm³; N(E_F) = 1.43 states/eV/f.u.
1.0
4.501 0.000 0.000
0.000 4.501 0.000
0.000 0.000 4.263
Zr Tl O F
1 1 1 2
Direct
0.000 0.000 0.000
0.500 0.500 0.500
0.500 0.500 0.000
0.000 0.500 0.500
0.500 0.000 0.500

=====

--- 2 ---
ZrTlOF2 (meta-GGA SCAN, PBEsol geometry); calculated density = 7.41 g/cm³; N(E_F) = 1.64 states/eV/f.u.
1.0
4.384 0.000 0.000
0.000 4.384 0.000
0.000 0.000 4.080
Zr Tl O F
1 1 1 2
Direct
0.000 0.000 0.000
0.500 0.500 0.500
0.000 0.000 0.500
0.000 0.500 0.000
0.500 0.000 0.000

=====

Which of them is most stable? Easy: 2.

=====

--- 1 ---
V4O5F7 (meta-GGA SCAN, PBEsol geometry); calculated density = 3.46 g/cm³; N(E_F) = 3.64 states/eV/f.u.
1.0
5.219 0.000 0.000
2.603 4.535 0.000
2.456 -1.350 8.459
V O F
4 5 7
Direct
0.000 0.000 0.000
0.028 0.553 0.496
0.478 0.784 0.239
0.520 0.253 0.723
0.255 0.859 0.112
0.268 0.360 0.613
0.268 0.682 0.385
0.760 0.887 0.081
0.769 0.890 0.635
0.259 0.192 0.332
0.268 0.697 0.827
0.274 0.195 0.894
0.761 0.388 0.581
0.765 0.717 0.358
0.773 0.380 0.135
0.774 0.229 0.857

=====

--- 2 ---
V4O5F7 (meta-GGA SCAN, PBEsol geometry); calculated density = 3.48 g/cm³; N(E_F) = 1.22 states/eV/f.u.
1.0
5.310 0.000 0.000
0.000 5.142 0.000
-0.278 0.000 7.279
V O F
4 5 7
Direct
0.031 0.000 0.245
0.460 0.501 0.760
0.540 0.501 0.240
0.969 0.000 0.755
0.211 0.681 0.713
0.224 0.238 0.210
0.500 0.545 0.000
0.776 0.238 0.790
0.789 0.681 0.287
0.000 0.060 0.500
0.000 0.868 0.000
0.283 0.179 0.796
0.287 0.745 0.300
0.500 0.388 0.500
0.713 0.745 0.700
0.717 0.179 0.204

=====

Which of them is most stable? Easy: 1.

=====

--- 1 ---
V3O4F2 (meta-GGA SCAN, PBEsol geometry); calculated density = 4.56 g/cm³; N(E_F) = 1.90 states/eV/f.u.
1.0
3.246 -3.251 0.000
3.246 3.251 0.000
-0.120 0.000 8.797
V O F
6 8 4
Direct
0.000 0.000 0.000
0.026 0.028 0.653
0.500 0.500 0.500
0.523 0.445 0.846
0.555 0.477 0.154
0.972 0.974 0.347
0.208 0.792 0.500
0.317 0.276 0.001
0.319 0.301 0.670
0.699 0.681 0.330
0.724 0.683 0.999
0.800 0.200 0.500
0.822 0.178 0.169
0.822 0.178 0.831
0.210 0.778 0.171
0.222 0.790 0.829
0.307 0.283 0.329
0.717 0.693 0.671

=====

--- 2 ---
V3O4F2 (meta-GGA SCAN, PBEsol geometry); calculated density = 4.59 g/cm³; N(E_F) = 3.54 states/eV/f.u.
1.0
4.554 0.000 0.000
0.000 4.554 0.000
0.000 0.000 8.883
V O F
6 8 4
Direct
0.000 0.000 0.000
0.000 0.000 0.311
0.000 0.000 0.689
0.500 0.500 0.189
0.500 0.500 0.500
0.500 0.500 0.811
0.204 0.204 0.162
0.204 0.204 0.838
0.296 0.704 0.338
0.296 0.704 0.662
0.704 0.296 0.338
0.704 0.296 0.662
0.796 0.796 0.162
0.796 0.796 0.838
0.193 0.193 0.500
0.307 0.693 0.000
0.693 0.307 0.000
0.807 0.807 0.500

=====

--- 3 ---
V3O4F2 (meta-GGA SCAN, PBEsol geometry); calculated density = 4.56 g/cm³; N(E_F) = 2.70 states/eV/f.u.
1.0
5.417 0.000 0.000
1.547 5.228 0.000
2.330 1.633 6.557
V O F
6 8 4
Direct
0.000 0.000 0.000
0.000 0.000 0.500
0.304 0.364 0.141
0.342 0.369 0.663
0.658 0.631 0.337
0.696 0.636 0.859
0.018 0.641 0.169
0.103 0.107 0.198
0.296 0.708 0.498
0.433 0.445 0.862
0.567 0.555 0.138
0.704 0.292 0.502
0.897 0.893 0.802
0.982 0.359 0.831
0.239 0.242 0.461
0.377 0.967 0.827
0.623 0.033 0.173
0.761 0.758 0.539

=====

--- 4 ---
V3O4F2 (meta-GGA SCAN, PBEsol geometry); calculated density = 4.57 g/cm³; N(E_F) = 2.87 states/eV/f.u.
1.0
4.449 -3.164 0.000
4.449 3.164 0.000
-3.208 0.000 6.580
V O F
6 8 4
Direct
0.000 0.000 0.000
0.000 0.000 0.500
0.312 0.312 0.336
0.336 0.336 0.832
0.664 0.664 0.168
0.688 0.688 0.664
0.037 0.629 0.335
0.094 0.094 0.298
0.300 0.700 0.000
0.371 0.963 0.665
0.629 0.037 0.335
0.700 0.300 0.000
0.906 0.906 0.702
0.963 0.371 0.665
0.234 0.234 0.031
0.436 0.436 0.636
0.564 0.564 0.364
0.766 0.766 0.969

=====

Which of them is most stable? Easy: 1.

=====

--- 1 ---
V3O4F2 (meta-GGA SCAN, PBEsol geometry); calculated density = 4.56 g/cm³; N(E_F) = 1.47 states/eV/f.u.
1.0
4.596 0.000 0.000
0.000 4.598 0.000
-4.390 0.000 8.787
V O F
6 8 4
Direct
0.000 0.000 0.000
0.000 0.500 0.500
0.391 0.013 0.347
0.391 0.487 0.847
0.609 0.513 0.153
0.609 0.987 0.653
0.290 0.198 0.499
0.290 0.302 0.999
0.363 0.686 0.670
0.363 0.814 0.170
0.637 0.186 0.830
0.637 0.314 0.330
0.710 0.698 0.001
0.710 0.802 0.501
0.034 0.707 0.329
0.034 0.793 0.829
0.966 0.207 0.171
0.966 0.293 0.671

=====

--- 2 ---
V3O4F2 (meta-GGA SCAN, PBEsol geometry); calculated density = 4.28 g/cm³; N(E_F) = 2.74 states/eV/f.u.
1.0
4.943 0.000 0.000
-2.407 4.363 0.000
-0.164 -2.781 4.579
V O F
3 4 2
Direct
0.000 0.000 0.000
0.203 0.417 0.624
0.704 0.355 0.056
0.035 0.422 0.303
0.286 0.229 0.843
0.591 0.867 0.822
0.950 0.549 0.847
0.419 0.222 0.312
0.825 0.862 0.312

=====

Which of them is most stable? Easy: 1.

=====

--- 1 ---
V3OF11 (meta-GGA SCAN, PBEsol geometry); calculated density = 3.21 g/cm³
1.0
5.046 0.000 0.000
-0.008 5.383 0.000
-0.020 -2.405 14.371
V O F
6 2 22
Direct
0.000 0.000 0.000
0.002 0.355 0.666
0.451 0.164 0.331
0.479 0.887 0.669
0.500 0.500 0.001
0.960 0.665 0.335
0.289 0.136 0.692
0.406 0.118 0.222
0.117 0.971 0.887
0.120 0.302 0.553
0.121 0.640 0.228
0.183 0.972 0.369
0.194 0.317 0.029
0.209 0.653 0.697
0.263 0.456 0.368
0.310 0.809 0.028
0.410 0.785 0.552
0.412 0.460 0.884
0.617 0.869 0.778
0.620 0.525 0.113
0.650 0.184 0.436
0.675 0.842 0.302
0.695 0.182 0.972
0.717 0.540 0.639
0.766 0.377 0.301
0.785 0.050 0.636
0.809 0.689 0.972
0.896 0.702 0.452
0.913 0.030 0.116
0.914 0.370 0.782

=====

--- 2 ---
V3OF11 (meta-GGA SCAN, PBEsol geometry); calculated density = 3.26 g/cm³; N(E_F) = 1.86 states/eV/f.u.
1.0
5.039 0.000 0.000
0.111 5.240 0.000
0.062 2.594 14.571
V O F
6 2 22
Direct
0.000 0.000 0.000
0.008 0.664 0.666
0.492 0.836 0.333
0.500 0.500 0.000
0.508 0.164 0.667
0.992 0.336 0.334
0.252 0.757 0.989
0.748 0.243 0.011
0.090 0.983 0.116
0.103 0.295 0.446
0.112 0.619 0.779
0.180 0.658 0.307
0.195 0.985 0.640
0.248 0.270 0.964
0.306 0.159 0.302
0.321 0.490 0.634
0.392 0.812 0.447
0.400 0.146 0.779
0.409 0.404 0.116
0.591 0.596 0.884
0.600 0.854 0.221
0.608 0.188 0.553
0.679 0.510 0.366
0.694 0.841 0.698
0.752 0.730 0.036
0.805 0.015 0.360
0.820 0.342 0.693
0.888 0.381 0.221
0.897 0.705 0.554
0.910 0.017 0.884

=====

--- 3 ---
V3OF11 (meta-GGA SCAN, PBEsol geometry); calculated density = 3.20 g/cm³
1.0
5.308 0.000 0.000
0.000 5.080 0.000
-2.617 0.000 14.538
V O F
6 2 22
Direct
0.084 0.000 0.166
0.228 0.576 0.494
0.416 0.000 0.834
0.584 0.500 0.166
0.772 0.076 0.506
0.916 0.500 0.834
0.028 0.821 0.473
0.972 0.321 0.527
0.049 0.098 0.052
0.096 0.810 0.806
0.118 0.897 0.279
0.177 0.401 0.390
0.235 0.310 0.862
0.266 0.689 0.138
0.322 0.600 0.613
0.380 0.097 0.720
0.402 0.189 0.194
0.449 0.897 0.947
0.481 0.217 0.529
0.519 0.717 0.471
0.551 0.397 0.053
0.598 0.689 0.806
0.620 0.597 0.280
0.678 0.100 0.387
0.734 0.189 0.862
0.765 0.810 0.138
0.823 0.901 0.610
0.882 0.397 0.721
0.904 0.310 0.194
0.951 0.598 0.948

=====

Which of them is most stable? Easy: 3.

=====

--- 1 ---
V2O2F3 (meta-GGA SCAN, PBEsol geometry); calculated density = 4.06 g/cm³; N(E_F) = 2.33 states/eV/f.u.
1.0
4.823 -2.492 0.000
4.823 2.492 0.000
-2.575 0.000 6.496
V O F
4 4 6
Direct
0.187 0.221 0.385
0.221 0.187 0.885
0.779 0.813 0.115
0.813 0.779 0.615
0.051 0.380 0.653
0.380 0.051 0.153
0.620 0.949 0.847
0.949 0.620 0.347
0.127 0.873 0.750
0.200 0.562 0.045
0.438 0.800 0.455
0.562 0.200 0.545
0.800 0.438 0.955
0.873 0.127 0.250

=====

--- 2 ---
V2O2F3 (meta-GGA SCAN, PBEsol geometry); calculated density = 3.74 g/cm³; N(E_F) = 2.88 states/eV/f.u.
1.0
1.879 -4.712 0.000
1.879 4.712 0.000
0.000 0.000 9.563
V O F
4 4 6
Direct
0.154 0.846 0.556
0.154 0.846 0.944
0.846 0.154 0.056
0.846 0.154 0.444
0.329 0.671 0.046
0.329 0.671 0.454
0.671 0.329 0.546
0.671 0.329 0.954
0.043 0.957 0.117
0.043 0.957 0.383
0.214 0.786 0.750
0.786 0.214 0.250
0.957 0.043 0.617
0.957 0.043 0.883

=====

Which of them is most stable? Easy: 1.